Computed, not measured: HfTeSeBr2 after structural relaxation at the GGA-PBE level of DFT.

a b c (Å): 5.3584 5.3584 5.1793
angles (deg): 90.00 90.00 90.00
Space group P4/mmm (No. 123)
Inequivalent atoms, fractional coordinates:
Hf: 0.0000 0.0000 0.0000
Te: 0.5000 0.5000 0.5000
Se: 0.0000 0.0000 0.5000
Br: 0.0000 0.5000 0.0000

Magnetic moment ... 0.43 μB per atom
VASP energy ... -4.368 eV per atom
Raw formation energy ... -383 meV/atom